(1)
VASP calculation (PBE-GGA) on a geometry-optimized ReSi2S structure.

abc: 5.612 5.612 6.413
angles: 64.05 64.05 90.00
Element x y z (fractional)
Re 0.000 0.000 0.000
Re 0.750 0.250 0.500
S 0.500 0.500 0.000
S 0.250 0.750 0.500
Si 0.628 0.125 0.250
Si 0.122 0.625 0.250
Si 0.375 0.372 0.750
Si 0.875 0.878 0.750

## Properties
E_form (uncorrected) ... 469.7 meV/atom
Space group ... No. 122
DOS(E_F) ... 7.3 states/eV/cell
Total magnetization ... 0.00 μB per cell



(2)
VASP calculation (PBE-GGA) on a geometry-optimized ThGaAu11 structure.

abc: 5.508 7.140 7.321
angles: 83.14 67.90 71.49
Element x y z (fractional)
Th 0.000 0.000 0.000
Ga 0.500 0.500 0.000
Au 0.320 0.215 0.207
Au 0.680 0.785 0.793
Au 0.473 0.785 0.207
Au 0.527 0.215 0.793
Au 0.320 0.653 0.654
Au 0.680 0.347 0.346
Au 0.026 0.347 0.654
Au 0.974 0.653 0.346
Au 0.000 0.500 0.000
Au 0.500 0.000 0.500
Au 0.000 0.000 0.500

## Properties
Space group ... No. 12
DOS(E_F) ... 4.8 states/eV/cell
Energy of formation from the pure elements ... -0.20 eV/atom
Total magnetization ... 0.00 μB per cell



(3)
VASP calculation (PBE-GGA) on a geometry-optimized Li3HgI structure.

abc: 5.252 5.252 5.252
angles: 90.00 90.00 90.00
Element x y z (fractional)
I 0.000 0.000 0.000
Hg 0.500 0.500 0.500
Li 0.000 0.500 0.000
Li 0.000 0.000 0.500
Li 0.500 0.000 0.000

## Properties
ΔE to the lowest computed polymorph ... 0 meV per atom
E_form (uncorrected) ... -247.3 meV/atom
Space group ... No. 221
DOS(E_F) ... 2.7 states/eV/cell
Total magnetization ... 0.00 μB per cell



(4)
VASP calculation (PBE-GGA) on a geometry-optimized BaLaCd2Au structure.

abc: 5.503 5.654 5.503
angles: 90.00 90.00 90.00
Element x y z (fractional)
Cd 0.000 0.000 0.500
Cd 0.500 0.000 0.000
Au 0.000 0.000 0.000
Ba 0.500 0.500 0.500
La 0.000 0.500 0.000

## Properties
Space group ... No. 123
DOS(E_F) ... 4.4 states/eV/cell
Energy of formation from the pure elements ... -0.16 eV/atom
Total magnetization ... 0.19 μB per cell



(5)
VASP calculation (PBE-GGA) on a geometry-optimized RbCu3Ni structure.

abc: 4.683 4.683 4.683
angles: 90.00 90.00 90.00
Element x y z (fractional)
Ni 0.000 0.000 0.000
Cu 0.000 0.500 0.000
Cu 0.000 0.000 0.500
Cu 0.500 0.000 0.000
Rb 0.500 0.500 0.500

## Properties
ΔE to the lowest computed polymorph ... 0 meV per atom
Space group ... No. 221
DOS(E_F) ... 3.4 states/eV/cell
Energy of formation from the pure elements ... 0.65 eV/atom
Total magnetization ... 0.00 μB per cell



(6)
VASP calculation (PBE-GGA) on a geometry-optimized CdCl2 structure.

abc: 6.774 6.774 13.026
angles: 90.00 90.00 120.00
Element x y z (fractional)
Cl 0.000 0.000 0.000
Cl 0.000 0.000 0.500
Cl 0.840 0.680 0.250
Cl 0.160 0.320 0.750
Cl 0.320 0.160 0.250
Cl 0.840 0.160 0.250
Cl 0.160 0.840 0.750
Cl 0.680 0.840 0.750
Cd 0.333 0.667 0.865
Cd 0.667 0.333 0.365
Cd 0.667 0.333 0.135
Cd 0.333 0.667 0.635

## Properties
E_form (uncorrected) ... -335.0 meV/atom
Space group ... No. 194
DOS(E_F) ... 5.2 states/eV/cell
Total magnetization ... 0.09 μB per cell



> Among the records above, which one has the highest DOS(E_F)?

ReSi2S